Entry 1:
# CaPm3In12 | the Alexandria database | PBE-GGA | optimized geometry
data_CaPm3In12
_cell_length_a 4.706
_cell_length_b 4.706
_cell_length_c 18.815
_cell_angle_alpha 90.00
_cell_angle_beta 90.00
_cell_angle_gamma 90.00
_space_group_name_H-M_alt 'P 4/m m m'
_space_group_IT_number 123
_space_group_name_Hall '-P 4 2'
loop_
_atom_site_label
_atom_site_type_symbol
_atom_site_fract_x
_atom_site_fract_y
_atom_site_fract_z
Ca1 Ca 0.000 0.000 0.000
Pm1 Pm 0.000 0.000 0.251
Pm2 Pm 0.000 0.000 0.500
In1 In 0.000 0.500 0.125
In2 In 0.000 0.500 0.375
In3 In 0.500 0.500 0.000
In4 In 0.500 0.500 0.250
In5 In 0.500 0.500 0.500
# electronic total energy	-3.49	eV per atom
# calculated volume	26.044	A^3/atom

Entry 2:
# SrTl2Ir | the Alexandria database | PBE-GGA | optimized geometry
data_SrTl2Ir
_cell_length_a 3.454
_cell_length_b 5.503
_cell_length_c 11.018
_cell_angle_alpha 90.00
_cell_angle_beta 90.00
_cell_angle_gamma 90.00
_space_group_name_H-M_alt 'I m m m'
_space_group_IT_number 71
_space_group_name_Hall '-I 2 2'
loop_
_atom_site_label
_atom_site_type_symbol
_atom_site_fract_x
_atom_site_fract_y
_atom_site_fract_z
Sr1 Sr 0.000 0.000 0.000
Tl1 Tl 0.000 0.500 0.205
Ir1 Ir 0.000 0.000 0.500
# electronic total energy	-3.82	eV per atom
# calculated volume	26.183	A^3/atom

Entry 3:
# Ba2ZrIn | the Alexandria database | PBE-GGA | optimized geometry
data_Ba2ZrIn
_cell_length_a 5.414
_cell_length_b 5.414
_cell_length_c 9.504
_cell_angle_alpha 90.00
_cell_angle_beta 90.00
_cell_angle_gamma 90.00
_space_group_name_H-M_alt 'I -4 m 2'
_space_group_IT_number 119
_space_group_name_Hall 'I -4 -2'
loop_
_atom_site_label
_atom_site_type_symbol
_atom_site_fract_x
_atom_site_fract_y
_atom_site_fract_z
Ba1 Ba 0.000 0.000 0.000
Ba2 Ba 0.000 0.500 0.250
Zr1 Zr 0.000 0.000 0.500
In1 In 0.000 0.500 0.750
# electronic total energy	-3.49	eV per atom
# calculated volume	34.816	A^3/atom

Entry 4:
# BeGa3P | the Alexandria database | PBE-GGA | optimized geometry
data_BeGa3P
_cell_length_a 4.776
_cell_length_b 4.776
_cell_length_c 4.776
_cell_angle_alpha 90.00
_cell_angle_beta 90.00
_cell_angle_gamma 90.00
_space_group_name_H-M_alt 'P m -3 m'
_space_group_IT_number 221
_space_group_name_Hall '-P 4 2 3'
loop_
_atom_site_label
_atom_site_type_symbol
_atom_site_fract_x
_atom_site_fract_y
_atom_site_fract_z
Be1 Be 0.000 0.000 0.000
Ga1 Ga 0.000 0.500 0.500
P1 P 0.500 0.500 0.500
# electronic total energy	-2.90	eV per atom
# calculated volume	21.789	A^3/atom
# ΔE to the lowest computed polymorph	0.3575	eV per atom